Material: RbPm2TcO8
Method: DFT, PBE
State: optimized geometry

```
12
Lattice="-4.593 2.497 0.580 0.580 -0.263 4.401 3.736 6.328 1.985" Properties=species:S:1:pos:R:3 pbc="T T T"
Rb 1.868 3.164 0.993
Pm 1.002 6.202 3.585
Pm -1.279 2.359 3.382
Tc 0.000 0.000 0.000
O -3.357 3.652 3.937
O 0.240 7.336 5.648
O -2.772 2.309 1.313
O 3.080 4.910 3.030
O -0.516 1.226 1.319
O 2.495 6.253 5.653
O -0.070 4.185 4.232
O -0.207 4.377 2.735
```

Symmetry   P-1, No. 2
Formation energy without anion corrections   -2.07 eV/atom
DFT total energy   -85.3 eV per cell
Total magnetization   0.00 μB per formula unit